DFT (GGA+U) results for crystalline LiFeF4 at its relaxed geometry.

The size of the total moment comes out at 0.83 μB/atom. Its total DFT energy (no corrections) is -123.608 eV for the cell shown. The value obtained for the energy above the most stable polymorph in this dataset is 0 meV per atom. The density of states at the Fermi level is 0.00 states/eV per cell.

The structure belongs to space group C2/c (No. 15); the cell edges are 11.849, 5.188 and 5.507 Å and the angles 90.00°, 91.53° and 90.00°. The distinct sites, in fractional coordinates, are Li at (0.000, 0.004, 0.250), Fe at (0.250, 0.250, 0.500), F at (0.094, 0.138, 0.507) and F at (0.212, 0.454, 0.207).